Entry 1:
A plane-wave DFT calculation with GGA-PBE was carried out for an optimized crystal structure of Mg3VPt12.

Output
E_tot: -5.9912 eV per atom
Formation energy from the elements: -592 meV/atom
Total magnetization: 0.170 μB per formula unit
Calculated volume: 15.4 Å³ per atom
Crystal system: tetragonal

a = 3.9443 Å, b = 3.9443 Å, c = 15.8106 Å
α = 90.00°, β = 90.00°, γ = 90.00°
Last column: nearest neighbours and their distance in Å.
Space group P4/mmm (No. 123)
One atom of each set of equivalent atoms:
Mg (0.0000, 0.0000, 0.0000) [1 per cell]  12 Pt 2.79-2.80
Mg (0.0000, 0.0000, 0.2499) [2 per cell]  12 Pt 2.78-2.85
V (0.0000, 0.0000, 0.5000) [1 per cell]  12 Pt 2.73-2.79
Pt (0.0000, 0.5000, 0.1258) [4 per cell]  4 Mg 2.78-2.80, 8 Pt 2.79-2.81
Pt (0.0000, 0.5000, 0.3803) [4 per cell]  8 Pt 2.73-2.82, 2 V 2.73, 2 Mg 2.85
Pt (0.5000, 0.5000, 0.0000) [1 per cell]  4 Mg 2.79, 8 Pt 2.80
Pt (0.5000, 0.5000, 0.2525) [2 per cell]  4 Mg 2.79, 8 Pt 2.81-2.82
Pt (0.5000, 0.5000, 0.5000) [1 per cell]  8 Pt 2.73, 4 V 2.79


Entry 2:
A plane-wave DFT calculation with GGA-PBE was carried out for an optimized crystal structure of MgVPtW2.

Output
E_tot: -6.9399 eV per atom
Formation energy from the elements: 1592 meV/atom
Total magnetization: 0.001 μB per formula unit
Calculated volume: 21.7 Å³ per atom
Crystal system: tetragonal

a = 4.8372 Å, b = 4.8372 Å, c = 4.6468 Å
α = 90.00°, β = 90.00°, γ = 90.00°
Last column: nearest neighbours and their distance in Å.
Space group P4/mmm (No. 123)
One atom of each set of equivalent atoms:
Mg (0.0000, 0.0000, 0.0000) [1 per cell]  8 W 3.35, 4 V 3.42
V (0.5000, 0.5000, 0.0000) [1 per cell]  2 Pt 2.32
Pt (0.5000, 0.5000, 0.5000) [1 per cell]  2 V 2.32, 4 W 2.42
W (0.0000, 0.5000, 0.5000) [2 per cell]  2 Pt 2.42


Entry 3:
A plane-wave DFT calculation with GGA-PBE was carried out for an optimized crystal structure of MgPtW.

Output
E above lowest polymorph: 30 meV/atom
E_tot: -7.1121 eV per atom
Formation energy from the elements: -249 meV/atom
Total magnetization: 0.000 μB per formula unit
Calculated volume: 16.4 Å³ per atom
Crystal system: triclinic

a = 3.0299 Å, b = 4.4914 Å, c = 7.4224 Å
α = 83.29°, β = 78.27°, γ = 89.95°
Last column: nearest neighbours and their distance in Å.
Space group P-1 (No. 2)
One atom of each set of equivalent atoms:
Mg (0.0773, 0.2301, 0.3471) [2 per cell]  6 Pt 2.69-2.89, 1 Mg 2.85, 2 W 3.01
Pt (0.4085, 0.2723, 0.6818) [2 per cell]  2 W 2.69, 6 Mg 2.69-2.89
W (0.2445, 0.7492, 0.0117) [2 per cell]  2 Pt 2.69, 4 W 2.70-2.73, 2 Mg 3.01